Entry from Alexandria via LeMat-Bulk: crystalline La2ZrPb at its relaxed geometry (PBE).

Unit cell a=6.0076 b=6.0076 c=3.4788 alpha=90.00 beta=90.00 gamma=110.48
Fractional positions:
La (0.0000, 0.5000, 0.0000)
La (0.5000, 0.0000, 0.0000)
Zr (0.0000, 0.0000, 0.5000)
Pb (0.5000, 0.5000, 0.5000)

Summary:
energy: -0.2095 hartree per atom
magnetization: 0.000 μB per atom
calculated volume: 118 Å³/cell
formation energy from the elements: -0.172 eV/atom